Material: Cs2CrNi3F12
Method: DFT, PBE+U
State: relaxed

Raw total energy: -4.5996 eV per atom

Structure (POSCAR):
```
Cs2CrNi3F12
1.0
7.408 0.107 0.076
3.751 6.389 0.076
3.751 2.184 6.005
Cs Cr Ni F
2 1 3 12
direct
0.622 0.622 0.622 Cs
0.378 0.378 0.378 Cs
0.000 0.000 0.000 Cr
0.500 0.000 0.000 Ni
0.000 0.500 0.000 Ni
0.000 0.000 0.500 Ni
0.319 0.319 0.930 F
0.931 0.931 0.314 F
0.314 0.931 0.931 F
0.930 0.319 0.319 F
0.931 0.314 0.931 F
0.319 0.930 0.319 F
0.681 0.681 0.070 F
0.069 0.069 0.686 F
0.686 0.069 0.069 F
0.070 0.681 0.681 F
0.069 0.686 0.069 F
0.681 0.070 0.681 F
```